Entry 1:
A relaxed structure of CuS2NF. Source: the Alexandria database, functional PBEsol.

abc: 4.568 4.568 3.505
angles: 90.00 90.00 90.00
Space group P4/mmm (No. 123)
Inequivalent atoms, fractional coordinates:
1 Cu 0.000 0.000 0.000 x1
2 S 0.000 0.500 0.000 x2
3 N 0.000 0.000 0.500 x1
4 F 0.500 0.500 0.500 x1

Excess energy over the best structure of this formula in the dataset in eV/f.u.: 2.20
Crystal system: tetragonal
ΔE_f (raw) in kJ/mol of formula units: 527.7

=====

Entry 2:
A relaxed structure of CuS2NF. Source: the Alexandria database, functional PBEsol.

abc: 4.000 4.000 3.905
angles: 90.00 90.00 90.00
Space group P4/mmm (No. 123)
Inequivalent atoms, fractional coordinates:
1 Cu 0.000 0.000 0.000 x1
2 S 0.000 0.500 0.500 x2
3 N 0.000 0.000 0.500 x1
4 F 0.500 0.500 0.000 x1

Excess energy over the best structure of this formula in the dataset in eV/f.u.: 0.00
Crystal system: tetragonal
ΔE_f (raw) in kJ/mol of formula units: 315.3

=====

Entry 3:
A relaxed structure of CuSeN2F. Source: the Alexandria database, functional PBEsol.

abc: 3.584 3.584 5.967
angles: 90.00 90.00 90.00
Space group P4/mmm (No. 123)
Inequivalent atoms, fractional coordinates:
1 Cu 0.000 0.000 0.000 x1
2 Se 0.500 0.500 0.000 x1
3 N 0.000 0.500 0.500 x2
4 F 0.500 0.500 0.500 x1

Crystal system: tetragonal
ΔE_f (raw) in kJ/mol of formula units: 1024.9

=====

Entry 4:
A relaxed structure of TlCuN2F. Source: the Alexandria database, functional PBEsol.

abc: 3.726 3.726 4.583
angles: 90.00 90.00 90.00
Space group P4/mmm (No. 123)
Inequivalent atoms, fractional coordinates:
1 Tl 0.000 0.000 0.000 x1
2 Cu 0.500 0.500 0.500 x1
3 N 0.000 0.500 0.500 x2
4 F 0.500 0.500 0.000 x1

Crystal system: tetragonal
ΔE_f (raw) in kJ/mol of formula units: 313.6

=====

Number 1: total magnetic moment 0.48 μB/atom, calculated volume 73.1 Å³/cell. Number 2: total magnetic moment 0.00 μB/atom, calculated volume 62.5 Å³/cell. Number 3: total magnetic moment 0.68 μB/atom, calculated volume 76.6 Å³/cell. Number 4: total magnetic moment 0.51 μB/atom, calculated volume 63.6 Å³/cell.